# 1
{"formula": "PmBiSbO6", "functional": "GGA-PBE", "state": "optimized geometry", "e_form_raw_ev_per_atom": -1.83, "e_tot_ha_per_atom": -0.241, "lattice_angstrom": [[5.598, 0.000, 0.000], [-2.799, 4.848, 0.000], [0.000, 0.000, 10.014]], "species": ["O", "O", "O", "O", "O", "O", "O", "O", "O", "O", "O", "O", "Pm", "Pm", "Sb", "Sb", "Bi", "Bi"], "fractional_positions": [[0.630, 0.663, 0.636], [0.630, 0.967, 0.864], [0.967, 0.630, 0.364], [0.663, 0.630, 0.136], [0.663, 0.033, 0.364], [0.967, 0.337, 0.136], [0.337, 0.370, 0.864], [0.033, 0.663, 0.864], [0.033, 0.370, 0.636], [0.370, 0.337, 0.364], [0.337, 0.967, 0.636], [0.370, 0.033, 0.136], [0.000, 0.000, 0.000], [0.000, 0.000, 0.500], [0.667, 0.333, 0.250], [0.333, 0.667, 0.750], [0.333, 0.667, 0.250], [0.667, 0.333, 0.750]]}

---

# 2
{"formula": "Sr2LaAu", "functional": "GGA-PBE", "state": "optimized geometry", "polymorph_energy_mev_per_atom": 261, "formation_energy_ev_per_atom": -0.091, "e_tot_ha_per_atom": -0.110, "lattice_angstrom": [[4.652, 0.000, 0.000], [0.000, 5.200, 0.000], [0.000, 0.000, 5.656]], "species": ["Sr", "Sr", "Au", "La"], "fractional_positions": [[0.500, 0.500, 0.000], [0.000, 0.000, 0.000], [0.500, 0.000, 0.500], [0.000, 0.500, 0.500]]}

---

Repeat the first record exactly.
{"formula": "PmBiSbO6", "functional": "GGA-PBE", "state": "optimized geometry", "e_form_raw_ev_per_atom": -1.83, "e_tot_ha_per_atom": -0.241, "lattice_angstrom": [[5.598, 0.000, 0.000], [-2.799, 4.848, 0.000], [0.000, 0.000, 10.014]], "species": ["O", "O", "O", "O", "O", "O", "O", "O", "O", "O", "O", "O", "Pm", "Pm", "Sb", "Sb", "Bi", "Bi"], "fractional_positions": [[0.630, 0.663, 0.636], [0.630, 0.967, 0.864], [0.967, 0.630, 0.364], [0.663, 0.630, 0.136], [0.663, 0.033, 0.364], [0.967, 0.337, 0.136], [0.337, 0.370, 0.864], [0.033, 0.663, 0.864], [0.033, 0.370, 0.636], [0.370, 0.337, 0.364], [0.337, 0.967, 0.636], [0.370, 0.033, 0.136], [0.000, 0.000, 0.000], [0.000, 0.000, 0.500], [0.667, 0.333, 0.250], [0.333, 0.667, 0.750], [0.333, 0.667, 0.250], [0.667, 0.333, 0.750]]}

---

Please write out number 1 again, unchanged.
{"formula": "PmBiSbO6", "functional": "GGA-PBE", "state": "optimized geometry", "e_form_raw_ev_per_atom": -1.83, "e_tot_ha_per_atom": -0.241, "lattice_angstrom": [[5.598, 0.000, 0.000], [-2.799, 4.848, 0.000], [0.000, 0.000, 10.014]], "species": ["O", "O", "O", "O", "O", "O", "O", "O", "O", "O", "O", "O", "Pm", "Pm", "Sb", "Sb", "Bi", "Bi"], "fractional_positions": [[0.630, 0.663, 0.636], [0.630, 0.967, 0.864], [0.967, 0.630, 0.364], [0.663, 0.630, 0.136], [0.663, 0.033, 0.364], [0.967, 0.337, 0.136], [0.337, 0.370, 0.864], [0.033, 0.663, 0.864], [0.033, 0.370, 0.636], [0.370, 0.337, 0.364], [0.337, 0.967, 0.636], [0.370, 0.033, 0.136], [0.000, 0.000, 0.000], [0.000, 0.000, 0.500], [0.667, 0.333, 0.250], [0.333, 0.667, 0.750], [0.333, 0.667, 0.250], [0.667, 0.333, 0.750]]}